Density functional theory data (PBE) for an optimized crystal structure of TlSn2TeIr.

Cell: 5.178 5.178 5.321 Å, 90.00 90.00 90.00°
Atoms (fractional coordinates):
Sn  0.000  0.500  0.000
Ir  0.000  0.000  0.000
Te  0.500  0.500  0.500
Tl  0.000  0.000  0.500
Sn  0.500  0.000  0.000

Uncorrected energy, eV/f.u.: -22.939